(1)
The following is a GGA-PBE calculation of crystalline Zn2SiAu at its relaxed geometry, from Alexandria.

Cell: 9.169 3.189 4.450 Å, 90.00 94.52 90.00°
Space group C2/m (No. 12)
Inequivalent atoms, fractional coordinates:
Zn  0.246  0.000  0.254 x4
Si  0.000  0.000  0.500 x2
Au  0.000  0.500  0.000 x2

For the calculated volume, the calculation gives 16.2 Å³/atom. The value obtained for the magnetic moment is 0.0 μB/f.u. The value obtained for the electronic total energy is -2.741 eV per atom.

(2)
The following is a GGA-PBE calculation of crystalline KIrOs2 at its relaxed geometry, from Alexandria.

Cell: 2.808 2.808 9.223 Å, 90.00 90.00 90.00°
Space group P4mm (No. 99)
Inequivalent atoms, fractional coordinates:
K  0.000  0.000  0.000 x1
Ir  0.500  0.500  0.703 x1
Os  0.000  0.000  0.504 x1
Os  0.500  0.500  0.319 x1

Its polymorph energy (0 for the lowest one) is 0.000 eV/atom. The formation energy is 0.686 eV per atom. For the calculated volume, the calculation gives 18.2 Å³/atom. The value obtained for the magnetic moment is 0.0 μB/f.u. The value obtained for the electronic total energy is -7.418 eV per atom.

(3)
The following is a GGA-PBE calculation of crystalline Re3AgPd at its relaxed geometry, from Alexandria.

Cell: 4.702 4.702 4.702 Å, 90.00 90.00 90.00°
Space group Pm-3m (No. 221)
Inequivalent atoms, fractional coordinates:
Re  0.000  0.000  0.500 x3
Ag  0.500  0.500  0.500 x1
Pd  0.000  0.000  0.000 x1

Its polymorph energy (0 for the lowest one) is 0.000 eV/atom. The formation energy is 2.663 eV per atom. For the calculated volume, the calculation gives 20.8 Å³/atom. The value obtained for the magnetic moment is 1.2 μB/f.u. The value obtained for the electronic total energy is -6.415 eV per atom.

(4)
The following is a GGA-PBE calculation of crystalline TbErSe2 at its relaxed geometry, from Alexandria.

Cell: 4.0729 4.0729 19.8476 Å, 90.00 90.00 120.00°
Space group R-3m (No. 166, hexagonal axes)
Inequivalent atoms, fractional coordinates:
Tb  0.0000  0.0000  0.0000 x3
Er  0.0000  0.0000  0.5000 x3
Se  0.0000  0.0000  0.2480 x6

Its polymorph energy (0 for the lowest one) is 0.004 eV/atom. For the calculated volume, the calculation gives 23.8 Å³/atom. The value obtained for the magnetic moment is 0.0 μB/f.u. The value obtained for the electronic total energy is -5.775 eV per atom.

(5)
The following is a GGA-PBE calculation of crystalline La2FeIr at its relaxed geometry, from Alexandria.

Cell: 3.722 4.453 11.570 Å, 90.00 90.00 90.00°
Space group Imm2 (No. 44)
Inequivalent atoms, fractional coordinates:
La  0.000  0.000  0.000 x2
La  0.000  0.500  0.214 x2
Fe  0.000  0.000  0.423 x2
Ir  0.000  0.500  0.786 x2

The formation energy is -0.162 eV per atom. For the calculated volume, the calculation gives 24.0 Å³/atom. The value obtained for the magnetic moment is 2.0 μB/f.u. The value obtained for the electronic total energy is -6.957 eV per atom.

(6)
The following is a GGA-PBE calculation of crystalline SrLi2In2 at its relaxed geometry, from Alexandria.

Cell: 14.929 3.663 5.066 Å, 90.00 109.72 90.00°
Space group C2/m (No. 12)
Inequivalent atoms, fractional coordinates:
Sr  0.000  0.000  0.000 x2
Li  0.227  0.500  0.226 x4
In  0.111  0.500  0.611 x4

Its polymorph energy (0 for the lowest one) is 0.000 eV/atom. The formation energy is -0.266 eV per atom. For the calculated volume, the calculation gives 26.1 Å³/atom. The value obtained for the magnetic moment is 0.0 μB/f.u. The value obtained for the electronic total energy is -2.463 eV per atom.

(7)
The following is a GGA-PBE calculation of crystalline Sm3Zn2Ir at its relaxed geometry, from Alexandria.

Cell: 12.349 4.472 10.758 Å, 90.00 90.00 90.00°
Space group Pnma (No. 62)
Inequivalent atoms, fractional coordinates:
Sm  0.055  0.250  0.114 x4
Sm  0.110  0.750  0.559 x4
Sm  0.239  0.250  0.790 x4
Zn  0.008  0.750  0.294 x4
Zn  0.200  0.750  0.996 x4
Ir  0.119  0.250  0.369 x4

The formation energy is -0.457 eV per atom. For the calculated volume, the calculation gives 24.8 Å³/atom. The value obtained for the magnetic moment is 0.0 μB/f.u. The value obtained for the electronic total energy is -4.718 eV per atom.